VASP calculation (GGA-PBE) on a relaxed structure of MgCd2Hg.

The space group is Pnma (No. 62) and the conventional cell measures 5.3237, 11.1500 and 6.0452 Å, with angles of 90.00, 90.00 and 90.00 degrees. Symmetry generates all atoms from Mg at (0.0885, 0.2500, 0.1005), Cd at (0.2463, 0.5071, 0.8708) and Hg at (0.0881, 0.2500, 0.5996).

The calculation puts the distance to the lowest polymorph of the same formula at 8 meV per atom. The density of states at the Fermi level is 0.311 states/eV per atom. The total moment comes out at 0.00 Bohr magnetons per cell. The calculation puts the energy relative to the elements at -0.072 eV per atom.